1.
This record from Alexandria via LeMat-Bulk describes crystalline ScInTe2 at its relaxed geometry. The functional is GGA-PBE.

The structure belongs to space group I-4m2 (No. 119); the cell edges are 4.415, 4.415 and 10.964 Å and the angles 90.00°, 90.00° and 90.00°. The distinct sites, in fractional coordinates, are Sc at (0.000, 0.000, 0.000), In at (0.000, 0.500, 0.250), Te at (0.000, 0.000, 0.500) and Te at (0.000, 0.500, 0.750).

The value obtained for the total magnetic moment is 0.000 μB per atom. The total energy comes out at -4.25 eV per atom.


2.
This record from Alexandria via LeMat-Bulk describes crystalline CaTmAgBr6 at its relaxed geometry. The functional is GGA-PBE.

The structure belongs to space group P-31c (No. 163); the cell edges are 7.1812, 7.1812 and 12.8748 Å and the angles 90.00°, 90.00° and 120.00°. The distinct sites, in fractional coordinates, are Ca at (0.3333, 0.6667, 0.2500), Tm at (0.3333, 0.6667, 0.7500), Ag at (0.0000, 0.0000, 0.0000) and Br at (0.0143, 0.3505, 0.6267).

The value obtained for the total magnetic moment is 0.000 μB per atom. The total energy comes out at -3.71 eV per atom.


3.
This record from Alexandria via LeMat-Bulk describes crystalline Pu4TeAs2P at its relaxed geometry. The functional is GGA-PBE.

The structure belongs to space group P2/m (No. 10); the cell edges are 7.224, 4.169 and 7.263 Å and the angles 90.00°, 109.50° and 90.00°. The distinct sites, in fractional coordinates, are Pu at (0.239, 0.000, 0.232), Pu at (0.250, 0.500, 0.764), Te at (0.500, 0.500, 0.500), As at (0.000, 0.000, 0.500), As at (0.000, 0.500, 0.000) and P at (0.500, 0.000, 0.000).

The value obtained for the total magnetic moment is 0.016 μB per atom. The total energy comes out at -10.39 eV per atom.


total magnetic moment of number 3 (Pu4TeAs2P)? 0.016 μB per atom


total magnetic moment of number 2 (CaTmAgBr6)? 0.000 μB per atom


Look up the total magnetic moment of the second one. 0.000 μB per atom


Please write out number 3 again, unchanged.
This record from Alexandria via LeMat-Bulk describes crystalline Pu4TeAs2P at its relaxed geometry. The functional is GGA-PBE.

The structure belongs to space group P2/m (No. 10); the cell edges are 7.224, 4.169 and 7.263 Å and the angles 90.00°, 109.50° and 90.00°. The distinct sites, in fractional coordinates, are Pu at (0.239, 0.000, 0.232), Pu at (0.250, 0.500, 0.764), Te at (0.500, 0.500, 0.500), As at (0.000, 0.000, 0.500), As at (0.000, 0.500, 0.000) and P at (0.500, 0.000, 0.000).

The value obtained for the total magnetic moment is 0.016 μB per atom. The total energy comes out at -10.39 eV per atom.